This record from Alexandria describes a geometry-optimized ScAuIN2 structure. The functional is PBE.

**Energy relative to the elements, uncorrected**: 0.7251 eV/atom
**Symmetry**: No. 123
**Density**: 5.95 g cm⁻³
**Excess energy over the best structure of this formula in the dataset**: 0 meV/atom

abc: 4.101 4.101 6.583
angles: 90.00 90.00 90.00
Site moments in Bohr magnetons follow the coordinates.
Fractional coordinates of all 5 atoms:
Au (0.500, 0.500, 0.500)  0.01
I (0.000, 0.000, 0.500)  0.03
Sc (0.000, 0.000, 0.000)  -0.03
N (0.000, 0.500, 0.000)  0.29
N (0.500, 0.000, 0.000)  0.29

This record from Alexandria describes a geometry-optimized ScAuI2N structure. The functional is PBE.

**Energy relative to the elements, uncorrected**: 0.6296 eV/atom
**Symmetry**: No. 123
**Density**: 6.03 g cm⁻³
**Excess energy over the best structure of this formula in the dataset**: 507 meV/atom

abc: 6.104 6.104 3.769
angles: 90.00 90.00 90.00
Fractional coordinates of all 5 atoms:
I (0.000, 0.500, 0.000)
I (0.500, 0.000, 0.000)
N (0.000, 0.000, 0.500)
Au (0.000, 0.000, 0.000)
Sc (0.500, 0.500, 0.500)

This record from Alexandria describes a geometry-optimized ScAuIN2 structure. The functional is PBE.

**Energy relative to the elements, uncorrected**: 1.3639 eV/atom
**Symmetry**: No. 123
**Density**: 6.19 g cm⁻³
**Excess energy over the best structure of this formula in the dataset**: 639 meV/atom

abc: 4.094 6.353 4.094
angles: 90.00 90.00 90.00
Site moments in Bohr magnetons follow the coordinates.
Fractional coordinates of all 5 atoms:
Au (0.000, 0.000, 0.000)  0.24
I (0.000, 0.500, 0.000)  0.01
N (0.500, 0.000, 0.000)  0.95
N (0.000, 0.000, 0.500)  0.64
Sc (0.500, 0.500, 0.500)  -0.52

This record from Alexandria describes a geometry-optimized ScAuI2N structure. The functional is PBE.

**Energy relative to the elements, uncorrected**: 0.1226 eV/atom
**Symmetry**: No. 123
**Density**: 6.17 g cm⁻³
**Excess energy over the best structure of this formula in the dataset**: 0 meV/atom

abc: 5.853 5.853 4.002
angles: 90.00 90.00 90.00
Site moments in Bohr magnetons follow the coordinates.
Fractional coordinates of all 5 atoms:
I (0.500, 0.000, 0.000)  0.06
I (0.000, 0.500, 0.000)  0.06
Au (0.500, 0.500, 0.500)  -0.01
Sc (0.000, 0.000, 0.000)  -0.02
N (0.000, 0.000, 0.500)  0.74